[1]
TbPm5DyY2 | PBE | relaxed

Cell lengths 10.5483, 10.5483, 10.6733 Å; angles 90.00, 90.00, 148.79 degrees
Fractional positions:
Tb 0.2006 0.7994 0.5000
Tb 0.7994 0.2006 0.0000
Pm 0.0179 0.9821 0.5107
Pm 0.2815 0.7185 0.8004
Pm 0.2975 0.7025 0.1951
Pm 0.3901 0.6099 0.5133
Pm 0.4805 0.5195 0.2325
Pm 0.5195 0.4805 0.7325
Pm 0.6099 0.3901 0.0133
Pm 0.7025 0.2975 0.6951
Pm 0.7185 0.2815 0.3004
Pm 0.9821 0.0179 0.0107
Dy 0.4103 0.5897 0.9494
Dy 0.5897 0.4103 0.4494
Y 0.1115 0.8885 0.2261
Y 0.1158 0.8842 0.8070
Y 0.8842 0.1158 0.3070
Y 0.8885 0.1115 0.7261

Computed properties:
DOS(E_F): 14.74 states/eV/f.u.
SG: Cmc2_1, No. 36
ΔE_f: 0.142 eV per atom

[2]
Ac6Os2O | PBE | relaxed

Cell lengths 6.9170, 7.7623, 12.3541 Å; angles 90.00, 121.72, 90.00 degrees
Fractional positions:
Ac 0.0938 0.0477 0.2415
Ac 0.0938 0.4523 0.7415
Ac 0.2523 0.6763 0.0762
Ac 0.2523 0.8237 0.5762
Ac 0.3744 0.1684 0.0635
Ac 0.3744 0.3316 0.5635
Ac 0.6256 0.6684 0.4365
Ac 0.6256 0.8316 0.9365
Ac 0.7477 0.1763 0.4238
Ac 0.7477 0.3237 0.9238
Ac 0.9062 0.5477 0.2585
Ac 0.9062 0.9523 0.7585
Os 0.3121 0.1097 0.7660
Os 0.3121 0.3903 0.2660
Os 0.6879 0.6097 0.7340
Os 0.6879 0.8903 0.2340
O 0.0000 0.0000 0.0000
O 0.0000 0.5000 0.5000

Computed properties:
DOS(E_F): 7.81 states/eV/f.u.
energy relative to the elements, uncorrected: -58.0 kJ/mol of atoms
SG: P2_1/c, No. 14

[3]
ZnSeO5 | PBE | relaxed

Cell lengths 5.5907, 8.9567, 10.2619 Å; angles 90.00, 121.37, 90.00 degrees
Fractional positions:
Zn 0.1133 0.2442 0.0915
Zn 0.1133 0.2558 0.5915
Zn 0.8867 0.7442 0.4085
Zn 0.8867 0.7558 0.9085
Se 0.2488 0.6055 0.2581
Se 0.2488 0.8945 0.7581
Se 0.7512 0.1055 0.2419
Se 0.7512 0.3945 0.7419
O 0.0166 0.6001 0.3147
O 0.0166 0.8999 0.8147
O 0.1692 0.7398 0.1276
O 0.1692 0.7602 0.6276
O 0.2554 0.0613 0.6895
O 0.2554 0.4387 0.1895
O 0.4319 0.1434 0.0927
O 0.4319 0.3566 0.5927
O 0.4785 0.5672 0.0018
O 0.4785 0.9328 0.5018
O 0.5215 0.0672 0.4982
O 0.5215 0.4328 0.9982
O 0.5681 0.6434 0.4073
O 0.5681 0.8566 0.9073
O 0.7446 0.5613 0.8105
O 0.7446 0.9387 0.3105
O 0.8308 0.2398 0.3724
O 0.8308 0.2602 0.8724
O 0.9834 0.1001 0.1853
O 0.9834 0.3999 0.6853

Computed properties:
polymorph energy (0 for the lowest one): 0 meV per atom
DOS(E_F): 0.00 states/eV/f.u.
energy relative to the elements, uncorrected: -70.8 kJ/mol of atoms
SG: P2_1/c, No. 14

[4]
KRbCd2Bi | PBE | relaxed

Cell lengths 6.3924, 6.3924, 6.6383 Å; angles 90.00, 90.00, 90.00 degrees
Fractional positions:
K 0.0000 0.0000 0.0000
Rb 0.5000 0.5000 0.5000
Cd 0.0000 0.5000 0.0000
Cd 0.5000 0.0000 0.0000
Bi 0.0000 0.0000 0.5000

Computed properties:
DOS(E_F): 4.95 states/eV/f.u.
SG: P4/mmm, No. 123
ΔE_f: 0.290 eV per atom

[5]
POs3C | PBE | relaxed

Cell lengths 4.0591, 4.0591, 4.0591 Å; angles 90.00, 90.00, 90.00 degrees
Fractional positions:
P 0.0000 0.0000 0.0000
Os 0.0000 0.5000 0.5000
Os 0.5000 0.0000 0.5000
Os 0.5000 0.5000 0.0000
C 0.5000 0.5000 0.5000

Computed properties:
polymorph energy (0 for the lowest one): 0 meV per atom
DOS(E_F): 4.13 states/eV/f.u.
SG: Pm-3m, No. 221
ΔE_f: 0.877 eV per atom

[6]
AlGaRh | PBE | relaxed

Cell lengths 4.7019, 4.7019, 4.7019 Å; angles 139.63, 139.63, 58.41 degrees
Fractional positions:
Al 0.0000 0.0000 0.0000
Ga 0.3236 0.3236 0.0000
Rh 0.6578 0.6578 0.0000

Computed properties:
DOS(E_F): 1.24 states/eV/f.u.
SG: I4mm, No. 107
ΔE_f: -0.656 eV per atom

Among the records above, which one has the highest DOS(E_F)?
TbPm5DyY2

The lowest DOS(E_F) belongs to which entry?
ZnSeO5

The highest DOS(E_F) belongs to which entry?
TbPm5DyY2